Here is a geometry-optimized LaTlP2 structure from the Alexandria database. Energies are from PBE.

The space group is F-43m (No. 216) and the conventional cell measures 7.208, 7.208 and 7.208 Å, with angles of 90.00, 90.00 and 90.00 degrees. The inequivalent atoms are La at (0.000, 0.000, 0.000), Tl at (0.250, 0.250, 0.250), P at (0.000, 0.000, 0.500) and P at (0.250, 0.250, 0.750).

The size of the total moment comes out at 0.000 μB per formula unit. The calculation puts the formation energy at -62 meV/atom. The distance to the lowest polymorph of the same formula is 582 meV/atom. Its calculated volume is 23.4 A^3/atom.